! Mg2Cr2Te GGA-PBEsol optimized geometry; values from VASP
&SYSTEM
  ibrav = 0, nat = 5, ntyp = 3
/
ATOMIC_SPECIES
Mg 24.30 Mg.upf
Cr 52.00 Cr.upf
Te 127.60 Te.upf
ATOMIC_POSITIONS angstrom
Mg 0.000 0.000 2.120
Mg 0.000 0.000 15.530
Cr 1.631 0.000 4.413
Cr 0.000 1.631 4.413
Te 0.000 0.000 8.825
CELL_PARAMETERS angstrom
-1.631 1.631 8.825
1.631 -1.631 8.825
1.631 1.631 -8.825
! Energy ... -25.43 eV/cell
! Symmetry ... I4/mmm
! Magnetization ... 0.00 μB per atom
! E_form (uncorrected) ... 39 kJ per mole of atoms

! LiMg2Au2 GGA-PBEsol optimized geometry; values from VASP
&SYSTEM
  ibrav = 0, nat = 5, ntyp = 3
/
ATOMIC_SPECIES
Li 6.94 Li.upf
Mg 24.30 Mg.upf
Au 196.97 Au.upf
ATOMIC_POSITIONS angstrom
Li 0.000 0.000 0.000
Mg 2.075 0.000 2.995
Mg 0.000 2.075 2.995
Au 0.000 0.000 4.683
Au 0.000 0.000 7.298
CELL_PARAMETERS angstrom
-2.075 2.075 5.991
2.075 -2.075 5.991
2.075 2.075 -5.991
! Energy ... -14.88 eV/cell
! Symmetry ... I4/mmm
! DFT formation energy ... -0.3271 eV/atom
! Magnetization ... 0.00 μB per atom
! Energy above the most stable polymorph in this dataset ... 3.82 kcal/mol of atoms

! K2CrAgCl GGA-PBEsol optimized geometry; values from VASP
&SYSTEM
  ibrav = 0, nat = 5, ntyp = 4
/
ATOMIC_SPECIES
K 39.10 K.upf
Cr 52.00 Cr.upf
Ag 107.87 Ag.upf
Cl 35.45 Cl.upf
ATOMIC_POSITIONS angstrom
K 0.000 3.212 0.000
K 3.212 0.000 0.000
Cr 0.000 0.000 2.437
Ag 3.212 3.212 0.000
Cl 3.212 3.212 2.437
CELL_PARAMETERS angstrom
6.424 0.000 0.000
0.000 6.424 0.000
0.000 0.000 4.873
! Energy ... -15.40 eV/cell
! Symmetry ... P4/mmm
! Magnetization ... 1.04 μB per atom
! E_form (uncorrected) ... 47 kJ per mole of atoms

! MgIrBr2 GGA-PBEsol optimized geometry; values from VASP
&SYSTEM
  ibrav = 0, nat = 4, ntyp = 3
/
ATOMIC_SPECIES
Mg 24.30 Mg.upf
Ir 192.22 Ir.upf
Br 79.90 Br.upf
ATOMIC_POSITIONS angstrom
Mg 0.000 0.000 0.000
Ir 1.753 0.000 6.697
Br 0.000 0.000 5.010
Br 1.753 0.000 1.815
CELL_PARAMETERS angstrom
1.753 -2.817 0.000
1.753 2.817 0.000
0.000 0.000 8.827
! Energy ... -15.10 eV/cell
! Symmetry ... Cmm2
! Magnetization ... 0.00 μB per atom
! E_form (uncorrected) ... 4 kJ per mole of atoms
! Energy above the most stable polymorph in this dataset ... 0.68 kcal/mol of atoms

! USnPd GGA-PBEsol optimized geometry; values from VASP
&SYSTEM
  ibrav = 0, nat = 6, ntyp = 3
/
ATOMIC_SPECIES
U 238.03 U.upf
Sn 118.71 Sn.upf
Pd 106.42 Pd.upf
ATOMIC_POSITIONS angstrom
U 0.000 0.000 0.000
U 0.000 0.000 2.832
Sn 0.000 2.829 1.416
Sn 2.450 1.415 4.248
Pd 0.000 2.829 4.248
Pd 2.450 1.415 1.416
CELL_PARAMETERS angstrom
4.901 0.000 0.000
-2.450 4.244 0.000
0.000 0.000 5.663
! Energy ... -46.94 eV/cell
! Symmetry ... P6_3/mmc
! DFT formation energy ... -0.3648 eV/atom
! Magnetization ... 0.91 μB per atom

! LiWI3 GGA-PBEsol optimized geometry; values from VASP
&SYSTEM
  ibrav = 0, nat = 5, ntyp = 3
/
ATOMIC_SPECIES
Li 6.94 Li.upf
W 183.84 W.upf
I 126.90 I.upf
ATOMIC_POSITIONS angstrom
Li 0.000 0.000 0.000
W 2.769 2.769 2.769
I 0.000 2.769 2.769
I 2.769 0.000 2.769
I 2.769 2.769 0.000
CELL_PARAMETERS angstrom
5.538 0.000 0.000
0.000 5.538 0.000
0.000 0.000 5.538
! Energy ... -19.40 eV/cell
! Symmetry ... Pm-3m
! Magnetization ... 0.71 μB per atom
! E_form (uncorrected) ... 32 kJ per mole of atoms

! Co3RhO GGA-PBEsol optimized geometry; values from VASP
&SYSTEM
  ibrav = 0, nat = 5, ntyp = 3
/
ATOMIC_SPECIES
Co 58.93 Co.upf
Rh 102.91 Rh.upf
O 16.00 O.upf
ATOMIC_POSITIONS angstrom
Co 0.000 0.000 1.878
Co 0.000 1.878 0.000
Co 1.878 0.000 0.000
Rh 1.878 1.878 1.878
O 0.000 0.000 0.000
CELL_PARAMETERS angstrom
3.756 0.000 0.000
0.000 3.756 0.000
0.000 0.000 3.756
! Energy ... -36.87 eV/cell
! Symmetry ... Pm-3m
! Magnetization ... 1.13 μB per atom
! E_form (uncorrected) ... -5 kJ per mole of atoms

! HfZr3Sn GGA-PBEsol optimized geometry; values from VASP
&SYSTEM
  ibrav = 0, nat = 5, ntyp = 3
/
ATOMIC_SPECIES
Hf 178.49 Hf.upf
Zr 91.22 Zr.upf
Sn 118.71 Sn.upf
ATOMIC_POSITIONS angstrom
Hf 0.000 0.000 0.000
Zr 0.000 0.000 2.525
Zr 0.000 2.525 0.000
Zr 2.525 0.000 0.000
Sn 2.525 2.525 2.525
CELL_PARAMETERS angstrom
5.050 0.000 0.000
0.000 5.050 0.000
0.000 0.000 5.050
! Energy ... -37.56 eV/cell
! Symmetry ... Pm-3m
! DFT formation energy ... 0.8953 eV/atom
! Magnetization ... 0.00 μB per atom

! SrFeSe2 GGA-PBEsol optimized geometry; values from VASP
&SYSTEM
  ibrav = 0, nat = 4, ntyp = 3
/
ATOMIC_SPECIES
Sr 87.62 Sr.upf
Fe 55.84 Fe.upf
Se 78.96 Se.upf
ATOMIC_POSITIONS angstrom
Sr 0.000 0.000 0.000
Fe 0.000 1.884 3.321
Se 1.777 0.000 4.315
Se 0.000 0.000 8.248
CELL_PARAMETERS angstrom
-1.777 1.884 6.738
1.777 -1.884 6.738
1.777 1.884 -6.738
! Energy ... -21.19 eV/cell
! Symmetry ... Imm2
! Magnetization ... 0.94 μB per atom
! E_form (uncorrected) ... -65 kJ per mole of atoms
! Energy above the most stable polymorph in this dataset ... 3.63 kcal/mol of atoms

! NaGa2Hg2 GGA-PBEsol optimized geometry; values from VASP
&SYSTEM
  ibrav = 0, nat = 5, ntyp = 3
/
ATOMIC_SPECIES
Na 22.99 Na.upf
Ga 69.72 Ga.upf
Hg 200.59 Hg.upf
ATOMIC_POSITIONS angstrom
Na 0.000 0.000 0.000
Ga 2.034 0.000 3.305
Ga 0.000 2.034 3.305
Hg 0.000 0.000 5.224
Hg 0.000 0.000 7.996
CELL_PARAMETERS angstrom
-2.034 2.034 6.610
2.034 -2.034 6.610
2.034 2.034 -6.610
! Energy ... -9.69 eV/cell
! Symmetry ... I4/mmm
! DFT formation energy ... -0.0948 eV/atom
! Magnetization ... 0.00 μB per atom

! CaCu3Ru4O12 GGA-PBEsol optimized geometry; values from VASP
&SYSTEM
  ibrav = 0, nat = 20, ntyp = 4
/
ATOMIC_SPECIES
Ca 40.08 Ca.upf
Cu 63.55 Cu.upf
Ru 101.07 Ru.upf
O 16.00 O.upf
ATOMIC_POSITIONS angstrom
Ca 0.000 0.000 0.000
Cu 3.679 0.000 0.000
Cu 0.000 3.679 0.000
Cu 0.000 0.000 3.679
Ru 1.839 1.839 -1.839
Ru 1.839 -1.839 1.839
Ru -1.839 1.839 1.839
Ru 1.839 1.839 1.839
O 3.679 -1.413 2.403
O 2.266 1.276 0.000
O 5.092 1.276 0.000
O 2.403 3.679 -1.413
O 1.276 0.000 2.266
O 0.000 2.266 1.276
O 3.679 1.413 2.403
O 2.403 3.679 1.413
O 1.276 0.000 5.092
O -1.413 2.403 3.679
O 1.413 2.403 3.679
O 0.000 5.092 1.276
CELL_PARAMETERS angstrom
-3.679 3.679 3.679
3.679 -3.679 3.679
3.679 3.679 -3.679
! Energy ... -141.22 eV/cell
! Symmetry ... Im-3
! Magnetization ... 0.00 μB per atom
! E_form (uncorrected) ... -108 kJ per mole of atoms

! AsP2OsO GGA-PBEsol optimized geometry; values from VASP
&SYSTEM
  ibrav = 0, nat = 5, ntyp = 4
/
ATOMIC_SPECIES
As 74.92 As.upf
P 30.97 P.upf
Os 190.23 Os.upf
O 16.00 O.upf
ATOMIC_POSITIONS angstrom
As 0.000 0.000 0.000
P 0.000 2.357 1.825
P 2.357 0.000 1.825
Os 2.357 2.357 1.825
O 2.357 2.357 0.000
CELL_PARAMETERS angstrom
4.714 0.000 0.000
0.000 4.714 0.000
0.000 0.000 3.649
! Energy ... -33.36 eV/cell
! Symmetry ... P4/mmm
! Magnetization ... 0.00 μB per atom
! E_form (uncorrected) ... 15 kJ per mole of atoms

! Ba5Li2Te3O15 GGA-PBEsol optimized geometry; values from VASP
&SYSTEM
  ibrav = 0, nat = 50, ntyp = 4
/
ATOMIC_SPECIES
Ba 137.33 Ba.upf
Li 6.94 Li.upf
Te 127.60 Te.upf
O 16.00 O.upf
ATOMIC_POSITIONS angstrom
Ba 7.880 3.835 -2.083
Ba 3.835 5.155 -2.083
Ba 6.518 0.000 2.038
Ba 2.682 1.362 1.993
Ba -1.362 2.682 1.993
Ba 7.880 3.835 2.083
Ba 3.835 5.155 2.083
Ba 0.000 6.518 2.038
Ba 2.682 1.362 6.160
Ba -1.362 2.682 6.160
Li 9.083 1.237 0.000
Li 1.237 3.952 0.000
Li 5.281 2.565 4.076
Li -2.565 5.281 4.076
Te 0.000 0.000 0.000
Te 5.240 2.544 0.000
Te 3.973 -1.278 4.076
Te 0.000 0.000 4.076
Te 2.544 7.795 0.000
Te 1.278 3.973 4.076
O 7.762 -2.684 1.910
O 11.232 0.603 0.000
O 4.642 0.734 0.000
O 0.603 1.803 0.000
O 7.097 2.079 0.000
O 3.834 -1.244 2.166
O 3.460 3.267 0.000
O 0.000 0.000 2.101
O 3.251 -3.058 4.076
O 5.784 -1.876 4.076
O 5.930 4.683 0.000
O 9.201 1.244 2.166
O 5.274 2.684 1.910
O 1.835 -0.588 4.076
O 2.079 5.938 0.000
O 4.438 0.579 4.076
O 4.683 7.105 0.000
O 1.244 3.834 2.166
O -2.684 5.274 1.910
O 0.588 1.835 4.076
O 0.734 8.393 0.000
O 3.267 9.575 0.000
O 0.000 0.000 6.052
O 3.058 3.251 4.076
O 2.684 7.762 1.910
O -0.579 4.438 4.076
O 5.914 4.715 4.076
O 1.876 5.784 4.076
O -4.715 5.914 4.076
O -1.244 9.201 2.166
CELL_PARAMETERS angstrom
-6.518 6.518 4.076
6.518 -6.518 4.076
6.518 6.518 -4.076
! Energy ... -311.97 eV/cell
! Symmetry ... I4/m
! Magnetization ... 0.00 μB per atom
! E_form (uncorrected) ... -201 kJ per mole of atoms

! P3Pb5ClO12 GGA-PBEsol optimized geometry; values from VASP
&SYSTEM
  ibrav = 0, nat = 42, ntyp = 4
/
ATOMIC_SPECIES
P 30.97 P.upf
Pb 207.20 Pb.upf
Cl 35.45 Cl.upf
O 16.00 O.upf
ATOMIC_POSITIONS angstrom
P -1.715 3.532 1.816
P -1.073 8.360 1.816
P 2.202 3.251 5.447
P 2.787 5.390 1.816
P 6.062 0.281 5.447
P 6.704 5.109 5.447
Pb -3.688 6.517 1.816
Pb 1.189 2.189 1.816
Pb 2.490 0.065 5.447
Pb 0.000 5.761 3.661
Pb 0.000 5.761 7.234
Pb 4.989 2.880 0.029
Pb 4.989 2.880 3.602
Pb 2.499 8.576 1.816
Pb 3.800 6.452 5.447
Pb 8.677 2.124 5.447
Cl 0.000 0.000 0.000
Cl 0.000 0.000 3.632
O -0.893 3.112 0.564
O -0.893 3.112 3.067
O -1.781 5.102 1.816
O -1.853 5.713 5.447
O -1.847 7.859 0.564
O -1.847 7.859 3.067
O 0.968 4.180 5.447
O 2.249 2.329 4.196
O 2.249 2.329 6.699
O 1.461 4.548 1.816
O 0.320 7.633 1.816
O 4.104 1.252 1.816
O 0.885 7.390 5.447
O 4.669 1.009 5.447
O 3.528 4.093 5.447
O 2.740 6.312 0.564
O 2.740 6.312 3.067
O 4.021 4.461 1.816
O 6.836 0.783 4.196
O 6.836 0.783 6.699
O 6.842 2.929 1.816
O 6.770 3.539 5.447
O 5.882 5.529 4.196
O 5.882 5.529 6.699
CELL_PARAMETERS angstrom
9.978 0.000 0.000
-4.989 8.641 0.000
0.000 0.000 7.263
! Energy ... -283.23 eV/cell
! Symmetry ... P6_3/m
! Magnetization ... 0.00 μB per atom
! E_form (uncorrected) ... -180 kJ per mole of atoms

! ZrH2Os GGA-PBEsol optimized geometry; values from VASP
&SYSTEM
  ibrav = 0, nat = 4, ntyp = 3
/
ATOMIC_SPECIES
Zr 91.22 Zr.upf
H 1.01 H.upf
Os 190.23 Os.upf
ATOMIC_POSITIONS angstrom
Zr 0.000 0.000 0.000
H 1.363 1.363 1.363
H 4.090 4.090 4.090
Os 2.727 2.727 2.727
CELL_PARAMETERS angstrom
0.000 2.727 2.727
2.727 0.000 2.727
2.727 2.727 0.000
! Energy ... -26.88 eV/cell
! Symmetry ... Fm-3m
! Magnetization ... 0.00 μB per atom

! K2AgHg GGA-PBEsol optimized geometry; values from VASP
&SYSTEM
  ibrav = 0, nat = 4, ntyp = 3
/
ATOMIC_SPECIES
K 39.10 K.upf
Ag 107.87 Ag.upf
Hg 200.59 Hg.upf
ATOMIC_POSITIONS angstrom
K 0.000 0.000 0.000
K 1.921 1.921 4.007
Ag 0.000 0.000 6.331
Hg 1.921 1.921 7.333
CELL_PARAMETERS angstrom
3.841 0.000 0.000
0.000 3.841 0.000
0.000 0.000 9.601
! Energy ... -6.17 eV/cell
! Symmetry ... P4mm
! DFT formation energy ... -0.0053 eV/atom
! Magnetization ... 0.00 μB per atom

! TaHgTe2 GGA-PBEsol optimized geometry; values from VASP
&SYSTEM
  ibrav = 0, nat = 4, ntyp = 3
/
ATOMIC_SPECIES
Ta 180.95 Ta.upf
Hg 200.59 Hg.upf
Te 127.60 Te.upf
ATOMIC_POSITIONS angstrom
Ta 0.000 0.000 0.000
Hg 0.000 0.000 4.521
Te 1.663 1.663 1.702
Te 1.663 1.663 7.339
CELL_PARAMETERS angstrom
3.326 0.000 0.000
0.000 3.326 0.000
0.000 0.000 9.042
! Energy ... -20.62 eV/cell
! Symmetry ... P4/mmm
! Magnetization ... 0.00 μB per atom
! E_form (uncorrected) ... -11 kJ per mole of atoms

! Cd2AgPb GGA-PBEsol optimized geometry; values from VASP
&SYSTEM
  ibrav = 0, nat = 4, ntyp = 3
/
ATOMIC_SPECIES
Cd 112.41 Cd.upf
Ag 107.87 Ag.upf
Pb 207.20 Pb.upf
ATOMIC_POSITIONS angstrom
Cd 0.000 0.000 2.420
Cd 0.000 0.000 8.323
Ag 1.530 0.000 0.000
Pb 0.000 2.703 0.000
CELL_PARAMETERS angstrom
-1.530 2.703 5.372
1.530 -2.703 5.372
1.530 2.703 -5.372
! Energy ... -9.47 eV/cell
! Symmetry ... Immm
! DFT formation energy ... 0.0579 eV/atom
! Magnetization ... 0.00 μB per atom

! Tl2Ir2Se GGA-PBEsol optimized geometry; values from VASP
&SYSTEM
  ibrav = 0, nat = 5, ntyp = 3
/
ATOMIC_SPECIES
Tl 204.38 Tl.upf
Ir 192.22 Ir.upf
Se 78.96 Se.upf
ATOMIC_POSITIONS angstrom
Tl 0.000 0.000 1.729
Tl 0.000 0.000 14.734
Ir 1.796 0.000 4.116
Ir 0.000 1.796 4.116
Se 0.000 0.000 8.232
CELL_PARAMETERS angstrom
-1.796 1.796 8.232
1.796 -1.796 8.232
1.796 1.796 -8.232
! Energy ... -26.31 eV/cell
! Symmetry ... I4/mmm
! Magnetization ... 0.00 μB per atom
! E_form (uncorrected) ... 47 kJ per mole of atoms
! Energy above the most stable polymorph in this dataset ... 0.00 kcal/mol of atoms

! Fe2NiCl GGA-PBEsol optimized geometry; values from VASP
&SYSTEM
  ibrav = 0, nat = 4, ntyp = 3
/
ATOMIC_SPECIES
Fe 55.84 Fe.upf
Ni 58.69 Ni.upf
Cl 35.45 Cl.upf
ATOMIC_POSITIONS angstrom
Fe 0.000 0.000 0.000
Fe 1.491 1.439 1.359
Ni 2.982 0.000 2.580
Cl 0.010 1.439 4.508
CELL_PARAMETERS angstrom
2.983 0.000 0.000
0.000 2.878 0.000
-0.002 0.000 6.384
! Energy ... -25.38 eV/cell
! Symmetry ... Pm
! Magnetization ... 1.60 μB per atom
! E_form (uncorrected) ... 17 kJ per mole of atoms
! Energy above the most stable polymorph in this dataset ... 0.00 kcal/mol of atoms

! Ba2AgPt GGA-PBEsol optimized geometry; values from VASP
&SYSTEM
  ibrav = 0, nat = 4, ntyp = 3
/
ATOMIC_SPECIES
Ba 137.33 Ba.upf
Ag 107.87 Ag.upf
Pt 195.08 Pt.upf
ATOMIC_POSITIONS angstrom
Ba 0.000 0.000 5.573
Ba 0.000 0.000 17.595
Ag 0.000 0.000 0.000
Pt 0.000 0.000 11.584
CELL_PARAMETERS angstrom
2.273 1.312 7.722
-2.273 1.312 7.722
0.000 -2.624 7.722
! Energy ... -15.92 eV/cell
! Symmetry ... R-3m
! DFT formation energy ... -0.3365 eV/atom
! Magnetization ... 0.00 μB per atom

! CaCo2Ge2 GGA-PBEsol optimized geometry; values from VASP
&SYSTEM
  ibrav = 0, nat = 5, ntyp = 3
/
ATOMIC_SPECIES
Ca 40.08 Ca.upf
Co 58.93 Co.upf
Ge 72.64 Ge.upf
ATOMIC_POSITIONS angstrom
Ca 0.000 0.000 0.000
Co 1.955 0.000 2.553
Co 0.000 1.955 2.553
Ge 0.000 0.000 3.769
Ge 0.000 0.000 6.442
CELL_PARAMETERS angstrom
-1.955 1.955 5.105
1.955 -1.955 5.105
1.955 1.955 -5.105
! Energy ... -30.10 eV/cell
! Symmetry ... I4/mmm
! DFT formation energy ... -0.5222 eV/atom
! Magnetization ... 0.00 μB per atom

! Ca3SiNi GGA-PBEsol optimized geometry; values from VASP
&SYSTEM
  ibrav = 0, nat = 5, ntyp = 3
/
ATOMIC_SPECIES
Ca 40.08 Ca.upf
Si 28.09 Si.upf
Ni 58.69 Ni.upf
ATOMIC_POSITIONS angstrom
Ca 0.000 0.000 2.560
Ca 0.000 2.560 0.000
Ca 2.560 0.000 0.000
Si 2.560 2.560 2.560
Ni 0.000 0.000 0.000
CELL_PARAMETERS angstrom
5.120 0.000 0.000
0.000 5.120 0.000
0.000 0.000 5.120
! Energy ... -17.87 eV/cell
! Symmetry ... Pm-3m
! Magnetization ... 0.00 μB per atom
! E_form (uncorrected) ... 8 kJ per mole of atoms
! Energy above the most stable polymorph in this dataset ... 0.00 kcal/mol of atoms

! MgCd2 GGA-PBEsol optimized geometry; values from VASP
&SYSTEM
  ibrav = 0, nat = 6, ntyp = 2
/
ATOMIC_SPECIES
Mg 24.30 Mg.upf
Cd 112.41 Cd.upf
ATOMIC_POSITIONS angstrom
Mg 1.580 6.119 3.739
Mg 1.580 -6.119 1.246
Cd 1.580 4.365 1.246
Cd 1.580 0.863 3.739
Cd 1.580 -0.863 1.246
Cd 1.580 -4.365 3.739
CELL_PARAMETERS angstrom
1.580 -7.845 0.000
1.580 7.845 0.000
0.000 0.000 4.985
! Energy ... -8.77 eV/cell
! Symmetry ... Cmcm
! DFT formation energy ... -0.0911 eV/atom
! Magnetization ... 0.00 μB per atom